Below is a geometry-optimized CaCd2P structure, with properties calculated at the GGA-PBE level.

Cell and atoms, written as CIF:
```
data_CaCd2P
_cell_length_a 8.587
_cell_length_b 8.587
_cell_length_c 5.514
_cell_angle_alpha 90.00
_cell_angle_beta 90.00
_cell_angle_gamma 90.00
_space_group_name_H-M_alt 'I -4 2 d'
_space_group_IT_number 122
_space_group_name_Hall 'I -4 2bw'
loop_
_atom_site_label
_atom_site_type_symbol
_atom_site_fract_x
_atom_site_fract_y
_atom_site_fract_z
Ca1 Ca 0.000 0.000 0.000
Cd1 Cd 0.180 0.250 0.625
P1 P 0.000 0.000 0.500
```

Computed properties:
magnetization = 0.0 μB per formula unit
total energy = -2.5960 eV/atom

Below is a geometry-optimized Sr2LaH2 structure, with properties calculated at the GGA-PBE level.

Cell and atoms, written as CIF:
```
data_Sr2LaH2
_cell_length_a 3.919
_cell_length_b 3.919
_cell_length_c 18.674
_cell_angle_alpha 90.00
_cell_angle_beta 90.00
_cell_angle_gamma 90.00
_space_group_name_H-M_alt 'I 4/m m m'
_space_group_IT_number 139
_space_group_name_Hall '-I 4 2'
loop_
_atom_site_label
_atom_site_type_symbol
_atom_site_fract_x
_atom_site_fract_y
_atom_site_fract_z
Sr1 Sr 0.000 0.000 0.173
La1 La 0.000 0.000 0.500
H1 H 0.000 0.500 0.250
```

Computed properties:
magnetization = 0.2 μB per formula unit
total energy = -3.1927 eV/atom

Below is a geometry-optimized AgPd8Pt2 structure, with properties calculated at the GGA-PBE level.

Cell and atoms, written as CIF:
```
data_AgPd8Pt2
_cell_length_a 7.350
_cell_length_b 12.160
_cell_length_c 4.855
_cell_angle_alpha 90.00
_cell_angle_beta 122.22
_cell_angle_gamma 90.00
_space_group_name_H-M_alt 'C 1 2/m 1'
_space_group_IT_number 12
_space_group_name_Hall '-C 2y'
loop_
_atom_site_label
_atom_site_type_symbol
_atom_site_fract_x
_atom_site_fract_y
_atom_site_fract_z
Ag1 Ag 0.000 0.000 0.000
Pd1 Pd 0.000 0.222 0.000
Pd2 Pd 0.089 0.500 0.815
Pd3 Pd 0.211 0.114 0.628
Pt1 Pt 0.000 0.307 0.500
```

Computed properties:
magnetization = 0.0 μB per formula unit
total energy = -4.9249 eV/atom

Below is a geometry-optimized V2GeSb2 structure, with properties calculated at the GGA-PBE level.

Cell and atoms, written as CIF:
```
data_V2GeSb2
_cell_length_a 6.993
_cell_length_b 6.993
_cell_length_c 3.771
_cell_angle_alpha 90.00
_cell_angle_beta 90.00
_cell_angle_gamma 90.00
_space_group_name_H-M_alt 'P 4/m b m'
_space_group_IT_number 127
_space_group_name_Hall '-P 4 2ab'
loop_
_atom_site_label
_atom_site_type_symbol
_atom_site_fract_x
_atom_site_fract_y
_atom_site_fract_z
V1 V 0.143 0.357 0.000
Ge1 Ge 0.000 0.000 0.000
Sb1 Sb 0.156 0.656 0.500
```

Computed properties:
magnetization = 0.0 μB per formula unit
total energy = -6.1088 eV/atom

Below is a geometry-optimized SmErPbO2 structure, with properties calculated at the GGA-PBE level.

Cell and atoms, written as CIF:
```
data_SmErPbO2
_cell_length_a 3.873
_cell_length_b 3.873
_cell_length_c 14.279
_cell_angle_alpha 90.00
_cell_angle_beta 90.00
_cell_angle_gamma 90.00
_space_group_name_H-M_alt 'I 4 m m'
_space_group_IT_number 107
_space_group_name_Hall 'I 4 -2'
loop_
_atom_site_label
_atom_site_type_symbol
_atom_site_fract_x
_atom_site_fract_y
_atom_site_fract_z
Sm1 Sm 0.000 0.000 0.000
Er1 Er 0.000 0.000 0.340
Pb1 Pb 0.000 0.000 0.671
O1 O 0.000 0.500 0.415
```

Computed properties:
magnetization = 0.0 μB per formula unit
total energy = -7.1081 eV/atom

Below is a geometry-optimized BiRhS2Cl structure, with properties calculated at the GGA-PBE level.

Cell and atoms, written as CIF:
```
data_BiRhS2Cl
_cell_length_a 5.260
_cell_length_b 5.260
_cell_length_c 5.238
_cell_angle_alpha 90.00
_cell_angle_beta 90.00
_cell_angle_gamma 90.00
_space_group_name_H-M_alt 'P 4/m m m'
_space_group_IT_number 123
_space_group_name_Hall '-P 4 2'
loop_
_atom_site_label
_atom_site_type_symbol
_atom_site_fract_x
_atom_site_fract_y
_atom_site_fract_z
Bi1 Bi 0.000 0.000 0.000
Rh1 Rh 0.500 0.500 0.500
S1 S 0.000 0.500 0.000
Cl1 Cl 0.000 0.000 0.500
```

Computed properties:
magnetization = 2.5 μB per formula unit
total energy = -3.4703 eV/atom

Below is a geometry-optimized In2RhAu8 structure, with properties calculated at the GGA-PBE level.

Cell and atoms, written as CIF:
```
data_In2RhAu8
_cell_length_a 12.721
_cell_length_b 7.564
_cell_length_c 4.768
_cell_angle_alpha 90.00
_cell_angle_beta 102.13
_cell_angle_gamma 90.00
_space_group_name_H-M_alt 'C 1 2/m 1'
_space_group_IT_number 12
_space_group_name_Hall '-C 2y'
loop_
_atom_site_label
_atom_site_type_symbol
_atom_site_fract_x
_atom_site_fract_y
_atom_site_fract_z
In1 In 0.125 0.000 0.033
Rh1 Rh 0.000 0.000 0.500
Au1 Au 0.071 0.310 0.301
Au2 Au 0.142 0.500 0.843
Au3 Au 0.230 0.000 0.593
```

Computed properties:
magnetization = 0.0 μB per formula unit
total energy = -3.5829 eV/atom

Below is a geometry-optimized Be2IrAu structure, with properties calculated at the GGA-PBE level.

Cell and atoms, written as CIF:
```
data_Be2IrAu
_cell_length_a 2.924
_cell_length_b 3.755
_cell_length_c 4.585
_cell_angle_alpha 90.00
_cell_angle_beta 108.43
_cell_angle_gamma 90.00
_space_group_name_H-M_alt 'P 1 m 1'
_space_group_IT_number 6
_space_group_name_Hall 'P -2y'
loop_
_atom_site_label
_atom_site_type_symbol
_atom_site_fract_x
_atom_site_fract_y
_atom_site_fract_z
Be1 Be 0.000 0.000 0.000
Be2 Be 0.155 0.500 0.312
Ir1 Ir 0.711 0.000 0.426
Au1 Au 0.427 0.500 0.853
```

Computed properties:
magnetization = 0.0 μB per formula unit
total energy = -5.2005 eV/atom

Below is a geometry-optimized Ti3V4As4 structure, with properties calculated at the GGA-PBE level.

Cell and atoms, written as CIF:
```
data_Ti3V4As4
_cell_length_a 3.433
_cell_length_b 7.520
_cell_length_c 13.111
_cell_angle_alpha 90.00
_cell_angle_beta 90.00
_cell_angle_gamma 90.00
_space_group_name_H-M_alt 'I m m m'
_space_group_IT_number 71
_space_group_name_Hall '-I 2 2'
loop_
_atom_site_label
_atom_site_type_symbol
_atom_site_fract_x
_atom_site_fract_y
_atom_site_fract_z
Ti1 Ti 0.000 0.000 0.000
Ti2 Ti 0.000 0.500 0.111
V1 V 0.000 0.300 0.323
As1 As 0.000 0.000 0.237
As2 As 0.000 0.203 0.500
```

Computed properties:
magnetization = 0.0 μB per formula unit
total energy = -7.7637 eV/atom

Below is a geometry-optimized PmMgCd structure, with properties calculated at the GGA-PBE level.

Cell and atoms, written as CIF:
```
data_PmMgCd
_cell_length_a 5.1293
_cell_length_b 5.1293
_cell_length_c 3.4233
_cell_angle_alpha 90.00
_cell_angle_beta 90.00
_cell_angle_gamma 120.00
_space_group_name_H-M_alt 'P 3 m 1'
_space_group_IT_number 156
_space_group_name_Hall 'P 3 -2"'
loop_
_atom_site_label
_atom_site_type_symbol
_atom_site_fract_x
_atom_site_fract_y
_atom_site_fract_z
Pm1 Pm 0.0000 0.0000 0.0000
Mg1 Mg 0.3333 0.6667 0.4983
Cd1 Cd 0.6667 0.3333 0.5007
```

Computed properties:
magnetization = 0.0 μB per formula unit
total energy = -2.6607 eV/atom

Below is a geometry-optimized LaGa2Pd3 structure, with properties calculated at the GGA-PBE level.

Cell and atoms, written as CIF:
```
data_LaGa2Pd3
_cell_length_a 16.080
_cell_length_b 4.253
_cell_length_c 7.572
_cell_angle_alpha 90.00
_cell_angle_beta 116.60
_cell_angle_gamma 90.00
_space_group_name_H-M_alt 'C 1 2/m 1'
_space_group_IT_number 12
_space_group_name_Hall '-C 2y'
loop_
_atom_site_label
_atom_site_type_symbol
_atom_site_fract_x
_atom_site_fract_y
_atom_site_fract_z
La1 La 0.152 0.000 0.078
Ga1 Ga 0.018 0.500 0.181
Ga2 Ga 0.187 0.000 0.677
Pd1 Pd 0.037 0.000 0.363
Pd2 Pd 0.099 0.500 0.686
Pd3 Pd 0.185 0.500 0.439
```

Computed properties:
magnetization = 0.0 μB per formula unit
total energy = -5.1485 eV/atom

Below is a geometry-optimized BaCdI2 structure, with properties calculated at the GGA-PBE level.

Cell and atoms, written as CIF:
```
data_BaCdI2
_cell_length_a 9.987
_cell_length_b 9.987
_cell_length_c 8.477
_cell_angle_alpha 90.00
_cell_angle_beta 90.00
_cell_angle_gamma 90.00
_space_group_name_H-M_alt 'I -4 2 d'
_space_group_IT_number 122
_space_group_name_Hall 'I -4 2bw'
loop_
_atom_site_label
_atom_site_type_symbol
_atom_site_fract_x
_atom_site_fract_y
_atom_site_fract_z
Ba1 Ba 0.000 0.000 0.000
Cd1 Cd 0.000 0.000 0.500
I1 I 0.201 0.250 0.125
```

Computed properties:
magnetization = 0.0 μB per formula unit
total energy = -2.5195 eV/atom

> What is the magnetization in the seventh record?

0.0 μB per formula unit

> The lowest total energy belongs to which entry?

Ti3V4As4